No. 1
Computed, not measured: YMg6MnO8 after structural relaxation at the PBE+U level of DFT.

Output
The total DFT energy (no corrections) is -102.7 eV per formula unit. Its density of states at the Fermi level is 1.386 states/eV/cell. The space group is P4/mmm (123). The calculation puts the relative energy among the computed polymorphs at 0.00 eV per formula unit.

a b c (Å): 4.4400 4.4400 8.9001
angles (deg): 90.00 90.00 90.00
Site moments in Bohr magnetons follow the coordinates.
Positions (direct):
O 0.0000 0.5000 0.0000  0.06
O 0.0000 0.0000 0.7360  0.03
Mn 0.0000 0.0000 0.0000  4.45
O 0.5000 0.5000 0.7378  0.00
O 0.5000 0.5000 0.2622  0.00
O 0.0000 0.0000 0.2640  0.03
Mg 0.5000 0.0000 0.7342  0.00
O 0.5000 0.0000 0.5000  0.00
Mg 0.5000 0.0000 0.2658  0.00
O 0.5000 0.0000 0.0000  0.06
Mg 0.0000 0.5000 0.7342  0.00
Y 0.5000 0.5000 0.0000  -0.15
Mg 0.0000 0.0000 0.5000  0.00
O 0.0000 0.5000 0.5000  0.00
Mg 0.5000 0.5000 0.5000  0.00
Mg 0.0000 0.5000 0.2658  0.00

=====

No. 2
Computed, not measured: MgMn2Zn2O12 after structural relaxation at the PBE+U level of DFT.

Output
The total DFT energy (no corrections) is -94.4 eV per formula unit. Its density of states at the Fermi level is 0.895 states/eV/cell. The space group is C2 (5).

a b c (Å): 8.3741 8.3741 5.1575
angles (deg): 90.98 90.98 43.22
Site moments in Bohr magnetons follow the coordinates.
Positions (direct):
Zn 0.4344 0.3624 0.0482  0.03
Mg 0.2423 0.7577 0.5000  0.01
O 0.2435 0.2430 0.6655  0.87
Mn 0.7348 0.2652 0.5000  3.22
O 0.0269 0.0935 0.6813  -0.04
O 0.7570 0.7565 0.3345  0.87
O 0.2179 0.7024 0.9157  -0.02
Mn 0.9594 0.0406 0.0000  3.17
O 0.9065 0.9731 0.3187  -0.04
O 0.6911 0.1697 0.8172  -0.09
Zn 0.6376 0.5656 0.9518  0.03
O 0.2103 0.3214 0.8873  0.68
O 0.6786 0.7897 0.1127  0.68
O 0.5790 0.5751 0.6014  0.00
O 0.2976 0.7821 0.0843  -0.02
O 0.4249 0.4210 0.3986  0.00
O 0.8303 0.3089 0.1828  -0.09

=====

No. 3
Computed, not measured: MgMn2ZnO4 after structural relaxation at the PBE+U level of DFT.

Output
The total DFT energy (no corrections) is -52.1 eV per formula unit. The space group is Imma (74).

a b c (Å): 6.2305 6.2305 6.2173
angles (deg): 119.93 119.93 90.02
Site moments in Bohr magnetons follow the coordinates.
Positions (direct):
Mn 0.5000 0.0000 0.0000  4.62
O 0.2447 0.2553 0.4949  0.08
Mn 0.5000 0.0000 0.5000  4.62
Mg 0.0000 0.5000 0.5000  0.01
O 0.7614 0.2588 0.0101  0.08
Zn 0.0000 0.0000 0.0000  0.03
O 0.7553 0.7447 0.9949  0.08
Mn 0.0000 0.0000 0.5000  4.61
Mn 0.5000 0.5000 0.0000  4.61
O 0.2412 0.7386 0.4899  0.08
O 0.7588 0.2614 0.5101  0.08
Mg 0.0000 0.5000 0.0000  0.01
O 0.2447 0.2553 0.0051  0.08
Zn 0.5000 0.5000 0.5000  0.03
O 0.7553 0.7447 0.5051  0.08
O 0.2386 0.7412 0.9899  0.08